{
  "formula": "Li4Ni3SnO8",
  "functional": "PBE+U",
  "state": "optimized geometry",
  "magmom_total_mub_per_cell": 4.00,
  "total_energy_ev_per_cell": -82.44,
  "cell": [[5.146, -2.998, 0.000], [5.146, 2.998, 0.000], [-3.501, 0.000, 4.878]],
  "species": ["Li", "Li", "Li", "Li", "Ni", "Ni", "Ni", "Sn", "O", "O", "O", "O", "O", "O", "O", "O"],
  "frac_coords": [[0.000, 0.000, 0.000], [0.000, 0.500, 0.000], [0.500, 0.000, 0.000], [0.500, 0.500, 0.000], [0.000, 0.000, 0.500], [0.000, 0.500, 0.500], [0.500, 0.000, 0.500], [0.500, 0.500, 0.500], [0.234, 0.733, 0.726], [0.248, 0.248, 0.705], [0.254, 0.254, 0.242], [0.267, 0.766, 0.274], [0.733, 0.234, 0.726], [0.746, 0.746, 0.758], [0.752, 0.752, 0.295], [0.766, 0.267, 0.274]]
}